Crystalline Se2Cl3F4 at its relaxed geometry. Source: Alexandria via LeMat-Bulk, functional PBE.

Properties
The total DFT energy (no corrections) comes out at -28.269 eV/f.u. As for the volume: 497 Å³ per cell. For the formation energy without anion corrections, the calculation gives -0.92 eV/atom. As for the space group: C2/c.

a = 5.888 Å, b = 11.580 Å, c = 11.581 Å
α = 115.30°, β = 67.43°, γ = 67.44°
Fractional coordinates of all 18 atoms:
Cl 0.408 0.226 0.001
Cl 0.250 0.438 0.562
Cl 0.592 0.774 0.999
Cl 0.908 0.001 0.226
Cl 0.750 0.562 0.438
Cl 0.092 0.999 0.774
F 0.937 0.769 0.549
F 0.567 0.029 0.614
F 0.563 0.451 0.231
F 0.063 0.231 0.451
F 0.437 0.549 0.769
F 0.933 0.386 0.971
F 0.433 0.971 0.386
F 0.067 0.614 0.029
Se 0.381 0.161 0.458
Se 0.619 0.839 0.542
Se 0.119 0.542 0.839
Se 0.881 0.458 0.161